This record from the Alexandria database describes a relaxed structure of VTeIN2. The functional is PBE.

Properties
formation energy without anion corrections = 0.905 eV per atom
Fermi-level density of states = 0.759 states/eV per atom
distance to the lowest polymorph of the same formula = 0.177 eV/atom
VASP energy = -5.188 eV per atom

abc: 4.0336 4.0336 5.9196
angles: 90.00 90.00 90.00
Fractional positions:
I: 0.0000 0.0000 0.5000
N: 0.0000 0.5000 0.0000
N: 0.5000 0.0000 0.0000
Te: 0.5000 0.5000 0.5000
V: 0.0000 0.0000 0.0000